1.
Compound: Nd15Sm4Mg
Source: Alexandria via LeMat-Bulk
Functional: PBE
Structure: relaxed

It has space group P4/mmm (No. 123), with a = 5.158 Å, b = 5.158 Å, c = 25.860 Å, α = 90.00°, β = 90.00° and γ = 90.00°. The inequivalent atoms are Nd at (0.000, 0.000, 0.000), Nd at (0.000, 0.000, 0.196), Nd at (0.000, 0.000, 0.399), Nd at (0.000, 0.500, 0.097), Nd at (0.000, 0.500, 0.298), Nd at (0.000, 0.500, 0.500), Sm at (0.500, 0.500, 0.197), Sm at (0.500, 0.500, 0.399) and Mg at (0.500, 0.500, 0.000).

For the density of states at the Fermi level, the calculation gives 1.440 states/eV/atom.


2.
Compound: MnCd2Ni
Source: Alexandria via LeMat-Bulk
Functional: PBE
Structure: relaxed

It has space group I4/mmm (No. 139), with a = 4.147 Å, b = 4.147 Å, c = 7.697 Å, α = 90.00°, β = 90.00° and γ = 90.00°. The inequivalent atoms are Mn at (0.000, 0.000, 0.000), Cd at (0.000, 0.500, 0.250) and Ni at (0.000, 0.000, 0.500).

The excess energy over the best structure of this formula in the dataset comes out at 98.1 meV per atom. For the density of states at the Fermi level, the calculation gives 0.702 states/eV/atom.


no.,ΔH_f (0 K) (eV per atom)
1,0.010
2,0.171